# 1
InSeCl2: optimized geometry, PBEsol.

abc: 3.2422 4.2075 6.1415
angles: 90.00 90.00 90.00
Space group Pmmm (No. 47)
Inequivalent atoms, fractional coordinates:
In  0.0000  0.0000  0.0000 [1 per cell]
Se  0.0000  0.0000  0.5000 [1 per cell]
Cl  0.5000  0.5000  0.2470 [2 per cell]

**Energy relative to the elements, uncorrected**: 15 meV/atom
**Relative energy among the computed polymorphs**: 508 meV/atom
**ρ**: 5.25 g cm⁻³
**D(E_F)**: 3.17 states/eV/f.u.


# 2
InSeCl: optimized geometry, PBEsol.

abc: 6.6750 6.6750 6.6750
angles: 90.00 90.00 90.00
Space group F-43m (No. 216)
Inequivalent atoms, fractional coordinates:
In  0.0000  0.0000  0.0000 [4 per cell]
Se  0.2500  0.2500  0.2500 [4 per cell]
Cl  0.0000  0.0000  0.5000 [4 per cell]

**Energy relative to the elements, uncorrected**: -218 meV/atom
**ρ**: 5.12 g cm⁻³
**D(E_F)**: 1.46 states/eV/f.u.


# 3
In2SeCl2: optimized geometry, PBEsol.

abc: 5.1679 5.1679 9.6110
angles: 90.00 90.00 90.00
Space group I4/mmm (No. 139)
Inequivalent atoms, fractional coordinates:
In  0.0000  0.5000  0.2500 [4 per cell]
Se  0.0000  0.0000  0.0000 [2 per cell]
Cl  0.0000  0.0000  0.3473 [4 per cell]

**Energy relative to the elements, uncorrected**: -212 meV/atom
**ρ**: 4.91 g cm⁻³
**D(E_F)**: 2.06 states/eV/f.u.


# 4
InSeCl2: optimized geometry, PBEsol.

abc: 5.4524 12.0588 3.4163
angles: 90.00 90.00 90.00
Space group Cmmm (No. 65)
Inequivalent atoms, fractional coordinates:
In  0.0000  0.0000  0.0000 [2 per cell]
Se  0.0000  0.5000  0.0000 [2 per cell]
Cl  0.0000  0.1522  0.5000 [4 per cell]

**Energy relative to the elements, uncorrected**: -493 meV/atom
**Relative energy among the computed polymorphs**: 0 meV/atom
**ρ**: 3.91 g cm⁻³
**D(E_F)**: 2.66 states/eV/f.u.


# 5
InSeCl2: optimized geometry, PBEsol.

abc: 3.4100 3.4100 28.1405
angles: 90.00 90.00 120.00
Space group R-3m (No. 166, hexagonal axes)
Inequivalent atoms, fractional coordinates:
In  0.0000  0.0000  0.0000 [3 per cell]
Se  0.0000  0.0000  0.5000 [3 per cell]
Cl  0.0000  0.0000  0.4155 [6 per cell]

**Energy relative to the elements, uncorrected**: -236 meV/atom
**Relative energy among the computed polymorphs**: 257 meV/atom
**ρ**: 4.65 g cm⁻³
**D(E_F)**: 1.66 states/eV/f.u.


# 6
InSeCl2: optimized geometry, PBEsol.

abc: 4.3506 4.3506 8.7764
angles: 90.00 90.00 90.00
Space group I4/mmm (No. 139)
Inequivalent atoms, fractional coordinates:
In  0.0000  0.0000  0.0000 [2 per cell]
Se  0.0000  0.0000  0.5000 [2 per cell]
Cl  0.0000  0.5000  0.2500 [4 per cell]

**Energy relative to the elements, uncorrected**: -3 meV/atom
**Relative energy among the computed polymorphs**: 490 meV/atom
**ρ**: 5.29 g cm⁻³
**D(E_F)**: 3.01 states/eV/f.u.


# 7
InSeCl: optimized geometry, PBEsol.

abc: 3.8889 3.8889 6.1163
angles: 90.00 90.00 120.00
Space group P3m1 (No. 156)
Inequivalent atoms, fractional coordinates:
In  0.0000  0.0000  0.0000 [1 per cell]
Se  0.6667  0.3333  0.7806 [1 per cell]
Cl  0.3333  0.6667  0.2692 [1 per cell]

**Energy relative to the elements, uncorrected**: -735 meV/atom
**ρ**: 4.75 g cm⁻³
**D(E_F)**: 0.00 states/eV/f.u.


# 8
InSe2Cl: optimized geometry, PBEsol.

abc: 3.9962 3.9962 20.1264
angles: 90.00 90.00 120.00
Space group R-3m (No. 166, hexagonal axes)
Inequivalent atoms, fractional coordinates:
In  0.0000  0.0000  0.0000 [3 per cell]
Se  0.0000  0.0000  0.2604 [6 per cell]
Cl  0.0000  0.0000  0.5000 [3 per cell]

**Energy relative to the elements, uncorrected**: -146 meV/atom
**Relative energy among the computed polymorphs**: 365 meV/atom
**ρ**: 5.52 g cm⁻³
**D(E_F)**: 3.23 states/eV/f.u.


# 9
In2SiCl: optimized geometry, PBEsol.

abc: 3.1637 4.8084 11.8339
angles: 90.00 90.00 90.00
Space group Imm2 (No. 44)
Inequivalent atoms, fractional coordinates:
In  0.0000  0.0000  0.0000 [2 per cell]
In  0.0000  0.5000  0.2718 [2 per cell]
Si  0.0000  0.5000  0.7020 [2 per cell]
Cl  0.0000  0.0000  0.4995 [2 per cell]

**Energy relative to the elements, uncorrected**: -16 meV/atom
**Relative energy among the computed polymorphs**: 123 meV/atom
**ρ**: 5.41 g cm⁻³
**D(E_F)**: 1.14 states/eV/f.u.


# 10
InSiCl2: optimized geometry, PBEsol.

abc: 6.8997 6.8997 6.8997
angles: 90.00 90.00 90.00
Space group F-43m (No. 216)
Inequivalent atoms, fractional coordinates:
In  0.0000  0.0000  0.0000 [4 per cell]
Si  0.2500  0.2500  0.7500 [4 per cell]
Cl  0.0000  0.0000  0.5000 [4 per cell]
Cl  0.2500  0.2500  0.2500 [4 per cell]

**Energy relative to the elements, uncorrected**: 83 meV/atom
**Relative energy among the computed polymorphs**: 380 meV/atom
**ρ**: 4.32 g cm⁻³
**D(E_F)**: 3.48 states/eV/f.u.


# 11
InSiCl2: optimized geometry, PBEsol.

abc: 3.4043 4.1748 13.2643
angles: 90.00 90.00 90.00
Space group Imm2 (No. 44)
Inequivalent atoms, fractional coordinates:
In  0.0000  0.0000  0.0000 [2 per cell]
Si  0.0000  0.5000  0.3251 [2 per cell]
Cl  0.0000  0.0000  0.5880 [2 per cell]
Cl  0.0000  0.5000  0.8117 [2 per cell]

**Energy relative to the elements, uncorrected**: -186 meV/atom
**Relative energy among the computed polymorphs**: 112 meV/atom
**ρ**: 3.77 g cm⁻³
**D(E_F)**: 1.19 states/eV/f.u.


# 12
In2SiCl: optimized geometry, PBEsol.

abc: 3.5270 4.6278 5.6442
angles: 90.00 90.00 90.00
Space group Pmmm (No. 47)
Inequivalent atoms, fractional coordinates:
In  0.0000  0.0000  0.0000 [1 per cell]
In  0.5000  0.5000  0.5000 [1 per cell]
Si  0.0000  0.0000  0.5000 [1 per cell]
Cl  0.5000  0.5000  0.0000 [1 per cell]

**Energy relative to the elements, uncorrected**: -139 meV/atom
**Relative energy among the computed polymorphs**: 0 meV/atom
**ρ**: 5.28 g cm⁻³
**D(E_F)**: 1.33 states/eV/f.u.